PmY3Er7: relaxed, PBE-GGA.

Lattice parameters (Å, degrees): 8.3889 8.3889 5.7546 110.00 110.00 83.01
With the nearest neighbours (Å) after each atom.
Fractional positions:
Pm: 0.0000 0.0000 0.0000  2 Er 2.88
Y: 0.2943 0.7057 0.5000  5 Er 3.27-3.45
Y: 0.5000 0.5000 0.0000  4 Er 3.17
Y: 0.7057 0.2943 0.5000  5 Er 3.27-3.45
Er: 0.0000 0.0000 0.5000  2 Pm 2.88
Er: 0.0981 0.4872 0.7929  2 Y 3.17-3.45, 3 Er 3.27-3.52
Er: 0.2910 0.2910 0.2919  1 Pm 3.25, 2 Y 3.27, 6 Er 3.52-3.60
Er: 0.4872 0.0981 0.7929  2 Y 3.17-3.45, 3 Er 3.27-3.52
Er: 0.5128 0.9019 0.2071  2 Y 3.17-3.45, 3 Er 3.27-3.52
Er: 0.7090 0.7090 0.7081  1 Pm 3.25, 2 Y 3.27, 6 Er 3.52-3.60
Er: 0.9019 0.5128 0.2071  2 Y 3.17-3.45, 3 Er 3.27-3.52

Summary:
V	32.509	Å³/atom
total DFT energy (no corrections)	-53.11	eV per formula unit
energy above the lowest structure with this stoichiometry	1.20	eV per formula unit
formation energy from the elements	0.27	eV/atom
SG	C2/m
magnetization	0.0	μB/cell